VASP calculation (PBE) on ScRe3B after structural relaxation.

Calculated values
Crystal system: cubic
VASP energy in eV/atom: -6.648
Distance to the lowest polymorph of the same formula in eV per formula unit: 16.82

Cell lengths 4.5695, 4.5695, 4.5695 Å; angles 90.00, 90.00, 90.00 degrees
With the nearest neighbours (Å) after each atom.
Sites, in units of the cell vectors:
B: 0.5000 0.5000 0.5000  12 Re 3.23
Re: 0.0000 0.5000 0.0000  2 Sc 2.28
Re: 0.5000 0.0000 0.0000  2 Sc 2.28
Re: 0.0000 0.0000 0.5000  2 Sc 2.28
Sc: 0.0000 0.0000 0.0000  6 Re 2.28